Crystalline HfNiIr2C at its relaxed geometry, computed with PBE.

Results
- formation enthalpy at 0 K (eV per atom) = -0.09
- total energy (eV per atom) = -8.63

a = 4.0025 Å, b = 4.0025 Å, c = 4.4006 Å
α = 90.00°, β = 90.00°, γ = 90.00°
Last column: nearest neighbours and their distance in Å.
Fractional positions:
Hf (0.0000, 0.0000, 0.0000)  2 C 2.20
Ni (0.5000, 0.5000, 0.0000)  4 Hf 2.83, 8 Ir 2.97
Ir (0.0000, 0.5000, 0.5000)  2 C 2.00
Ir (0.5000, 0.0000, 0.5000)  2 C 2.00
C (0.0000, 0.0000, 0.5000)  4 Ir 2.00, 2 Hf 2.20